A relaxed Er2VIn crystal. Source: Alexandria, functional PBE-GGA.

a = 5.157 Å, b = 5.157 Å, c = 5.157 Å
α = 60.00°, β = 60.00°, γ = 60.00°
Element x y z (fractional)
Er1 0.250 0.250 0.250
Er2 0.750 0.750 0.750
In1 0.500 0.500 0.500
V1 0.000 0.000 0.000

Summary:
* relative energy among the computed polymorphs: 22 meV per atom
* crystal system: cubic
* spin magnetization: 3.43 μB/f.u.
* Fermi-level density of states: 2.640 states/eV/f.u.
* total DFT energy (no corrections): -5.3030 eV per atom


A relaxed BaBiPS2 crystal. Source: Alexandria, functional PBE-GGA.

a = 5.587 Å, b = 5.587 Å, c = 5.554 Å
α = 90.00°, β = 90.00°, γ = 90.00°
Element x y z (fractional)
Ba1 0.000 0.000 0.000
S1 0.500 0.000 0.000
S2 0.000 0.500 0.000
P1 0.000 0.000 0.500
Bi1 0.500 0.500 0.500

Summary:
* relative energy among the computed polymorphs: 1125 meV per atom
* crystal system: tetragonal
* spin magnetization: 0.02 μB/f.u.
* Fermi-level density of states: 4.978 states/eV/f.u.
* formation energy without anion corrections: 0.757 eV/atom
* total DFT energy (no corrections): -3.1367 eV per atom


A relaxed YNOF2 crystal. Source: Alexandria, functional PBE-GGA.

a = 3.847 Å, b = 3.847 Å, c = 3.848 Å
α = 90.00°, β = 90.00°, γ = 90.00°
Element x y z (fractional)
Y1 0.500 0.500 0.500
F1 0.500 0.000 0.000
F2 0.000 0.500 0.000
N1 0.000 0.000 0.000
O1 0.000 0.000 0.500

Summary:
* relative energy among the computed polymorphs: 626 meV per atom
* crystal system: tetragonal
* spin magnetization: 0.45 μB/f.u.
* Fermi-level density of states: 2.032 states/eV/f.u.
* formation energy without anion corrections: -0.802 eV/atom
* total DFT energy (no corrections): -5.5002 eV per atom


A relaxed Pr3Ho4Tm crystal. Source: Alexandria, functional PBE-GGA.

a = 3.496 Å, b = 8.932 Å, c = 8.932 Å
α = 81.98°, β = 78.71°, γ = 78.71°
Element x y z (fractional)
Ho1 0.635 0.621 0.110
Ho2 0.635 0.110 0.621
Ho3 0.365 0.890 0.379
Ho4 0.365 0.379 0.890
Pr1 0.757 0.243 0.243
Pr2 0.243 0.757 0.757
Pr3 0.000 0.500 0.500
Tm1 0.500 0.000 0.000

Summary:
* relative energy among the computed polymorphs: 107 meV per atom
* crystal system: orthorhombic
* spin magnetization: 0.00 μB/f.u.
* Fermi-level density of states: 11.627 states/eV/f.u.
* total DFT energy (no corrections): -4.5079 eV per atom


A relaxed Pr4Ru2Br5 crystal. Source: Alexandria, functional PBE-GGA.

a = 4.229 Å, b = 8.446 Å, c = 10.731 Å
α = 113.18°, β = 101.36°, γ = 90.00°
Element x y z (fractional)
Ru1 0.438 0.438 0.876
Ru2 0.562 0.562 0.124
Br1 0.500 0.000 0.000
Br2 0.172 0.944 0.345
Br3 0.172 0.400 0.345
Br4 0.828 0.056 0.655
Br5 0.828 0.600 0.655
Pr1 0.000 0.282 0.000
Pr2 0.686 0.686 0.372
Pr3 0.314 0.314 0.628
Pr4 0.000 0.718 0.000

Summary:
* crystal system: orthorhombic
* spin magnetization: 0.00 μB/f.u.
* Fermi-level density of states: 4.672 states/eV/f.u.
* formation energy without anion corrections: -0.971 eV/atom
* total DFT energy (no corrections): -5.1555 eV per atom


A relaxed Pu3Ga4Ge2 crystal. Source: Alexandria, functional PBE-GGA.

a = 4.514 Å, b = 5.701 Å, c = 8.334 Å
α = 71.85°, β = 74.29°, γ = 66.68°
Element x y z (fractional)
Pu1 0.000 0.000 0.000
Pu2 0.667 0.324 0.341
Pu3 0.333 0.676 0.659
Ga1 0.737 0.593 0.934
Ga2 0.036 0.298 0.631
Ga3 0.964 0.702 0.369
Ga4 0.263 0.407 0.066
Ge1 0.383 0.954 0.280
Ge2 0.617 0.046 0.720

Summary:
* crystal system: monoclinic
* spin magnetization: 5.58 μB/f.u.
* Fermi-level density of states: 22.133 states/eV/f.u.
* total DFT energy (no corrections): -7.5260 eV per atom


A relaxed Os3Se crystal. Source: Alexandria, functional PBE-GGA.

a = 4.662 Å, b = 4.662 Å, c = 4.662 Å
α = 128.79°, β = 128.79°, γ = 75.35°
Element x y z (fractional)
Os1 0.500 0.500 0.000
Os2 0.250 0.750 0.500
Os3 0.750 0.250 0.500
Se1 0.000 0.000 0.000

Summary:
* relative energy among the computed polymorphs: 355 meV per atom
* crystal system: tetragonal
* spin magnetization: 0.00 μB/f.u.
* Fermi-level density of states: 3.638 states/eV/f.u.
* formation energy without anion corrections: 0.887 eV/atom
* total DFT energy (no corrections): -8.4061 eV per atom


A relaxed VFeSi2 crystal. Source: Alexandria, functional PBE-GGA.

a = 3.850 Å, b = 3.850 Å, c = 4.447 Å
α = 64.35°, β = 64.35°, γ = 60.00°
Element x y z (fractional)
V1 0.500 0.500 0.500
Si1 0.273 0.273 0.182
Si2 0.727 0.727 0.818
Fe1 0.000 0.000 0.000

Summary:
* crystal system: trigonal
* spin magnetization: 1.96 μB/f.u.
* Fermi-level density of states: 3.603 states/eV/f.u.
* formation energy without anion corrections: -0.282 eV/atom
* total DFT energy (no corrections): -7.3891 eV per atom


A relaxed KNpCl6 crystal. Source: Alexandria, functional PBE-GGA.

a = 7.071 Å, b = 7.071 Å, c = 13.141 Å
α = 90.00°, β = 90.00°, γ = 120.00°
Element x y z (fractional)
Cl1 0.727 0.035 0.389
Cl2 0.035 0.308 0.611
Cl3 0.308 0.273 0.389
Cl4 0.273 0.965 0.611
Cl5 0.965 0.692 0.389
Cl6 0.692 0.965 0.889
Cl7 0.727 0.692 0.111
Cl8 0.273 0.308 0.889
Cl9 0.965 0.273 0.111
Cl10 0.692 0.727 0.611
Cl11 0.308 0.035 0.111
Cl12 0.035 0.727 0.889
Np1 0.000 0.000 0.000
Np2 0.000 0.000 0.500
K1 0.333 0.667 0.250
K2 0.667 0.333 0.750

Summary:
* relative energy among the computed polymorphs: 0 meV per atom
* crystal system: trigonal
* spin magnetization: 2.00 μB/f.u.
* Fermi-level density of states: 7.991 states/eV/f.u.
* formation energy without anion corrections: -1.623 eV/atom
* total DFT energy (no corrections): -4.7625 eV per atom


A relaxed CePm2Rh3 crystal. Source: Alexandria, functional PBE-GGA.

a = 3.499 Å, b = 4.968 Å, c = 14.919 Å
α = 90.00°, β = 90.00°, γ = 90.00°
Element x y z (fractional)
Pm1 0.019 0.500 0.170
Pm2 0.981 0.000 0.670
Pm3 0.981 0.000 0.330
Pm4 0.019 0.500 0.830
Rh1 0.486 0.000 0.500
Rh2 0.485 0.500 0.645
Rh3 0.515 0.000 0.855
Rh4 0.515 0.000 0.145
Rh5 0.485 0.500 0.355
Rh6 0.514 0.500 0.000
Ce1 0.015 0.000 0.000
Ce2 0.985 0.500 0.500

Summary:
* relative energy among the computed polymorphs: 0 meV per atom
* crystal system: orthorhombic
* spin magnetization: 0.00 μB/f.u.
* Fermi-level density of states: 3.594 states/eV/f.u.
* total DFT energy (no corrections): -6.9543 eV per atom


A relaxed HoEr2Mg2Sc2 crystal. Source: Alexandria, functional PBE-GGA.

a = 5.270 Å, b = 5.270 Å, c = 8.285 Å
α = 71.46°, β = 71.46°, γ = 60.00°
Element x y z (fractional)
Er1 0.154 0.154 0.538
Er2 0.846 0.846 0.462
Sc1 0.571 0.571 0.286
Sc2 0.429 0.429 0.714
Mg1 0.710 0.710 0.869
Mg2 0.290 0.290 0.131
Ho1 0.000 0.000 0.000

Summary:
* crystal system: trigonal
* spin magnetization: 0.00 μB/f.u.
* Fermi-level density of states: 8.409 states/eV/f.u.
* total DFT energy (no corrections): -4.2064 eV per atom